Entry 1:
This record from Alexandria via LeMat-Bulk describes a geometry-optimized KMgInMo3O12 structure. The functional is PBEsol.

Unit cell a=9.519 b=9.519 c=9.828 alpha=118.98 beta=90.00 gamma=120.00
Positions (direct):
K1 0.615 0.505 0.758
K2 0.110 0.495 0.242
Mg1 0.968 0.212 0.818
Mg2 0.756 0.788 0.182
In1 0.470 0.216 0.324
In2 0.254 0.784 0.676
Mo1 0.073 0.000 0.000
Mo2 0.651 0.289 0.000
Mo3 0.143 0.000 0.500
Mo4 0.862 0.281 0.500
Mo5 0.581 0.719 0.500
Mo6 0.362 0.711 0.000
O1 0.889 0.847 0.026
O2 0.973 0.867 0.325
O3 0.683 0.499 0.026
O4 0.557 0.515 0.489
O5 0.254 0.150 0.176
O6 0.620 0.283 0.175
O7 0.336 0.169 0.489
O8 0.682 0.294 0.489
O9 0.388 0.918 0.177
O10 0.904 0.287 0.676
O11 0.820 0.069 0.326
O12 0.167 0.831 0.511
O13 0.471 0.082 0.823
O14 0.541 0.706 0.026
O15 0.835 0.294 0.974
O16 0.104 0.850 0.824
O17 0.388 0.706 0.511
O18 0.617 0.713 0.324
O19 0.042 0.485 0.511
O20 0.751 0.931 0.674
O21 0.336 0.717 0.825
O22 0.183 0.501 0.974
O23 0.106 0.133 0.675
O24 0.042 0.153 0.974

size of the total moment: 0.000 μB per formula unit
V: 17.76 A^3/atom
N(E_F): 0.000 states/eV/cell
E_form (uncorrected): -2.0908 eV per atom
final energy: -7.88 eV/atom


Entry 2:
This record from Alexandria via LeMat-Bulk describes a geometry-optimized KMgInMo3O12 structure. The functional is PBEsol.

Unit cell a=9.526 b=9.526 c=9.839 alpha=61.05 beta=61.05 gamma=60.00
Positions (direct):
K1 0.501 0.501 0.497
K2 0.001 0.001 0.997
Mg1 0.143 0.143 0.571
Mg2 0.643 0.643 0.071
In1 0.357 0.357 0.929
In2 0.857 0.857 0.429
Mo1 0.031 0.756 0.752
Mo2 0.461 0.031 0.752
Mo3 0.256 0.531 0.252
Mo4 0.756 0.461 0.752
Mo5 0.531 0.961 0.252
Mo6 0.961 0.256 0.252
O1 0.003 0.787 0.574
O2 0.136 0.287 0.074
O3 0.055 0.937 0.731
O4 0.428 0.224 0.769
O5 0.277 0.055 0.731
O6 0.078 0.724 0.269
O7 0.499 0.857 0.925
O8 0.636 0.003 0.574
O9 0.224 0.578 0.769
O10 0.287 0.503 0.074
O11 0.219 0.357 0.425
O12 0.437 0.555 0.231
O13 0.578 0.428 0.769
O14 0.787 0.636 0.574
O15 0.719 0.499 0.925
O16 0.777 0.437 0.231
O17 0.357 0.999 0.425
O18 0.503 0.136 0.074
O19 0.937 0.277 0.731
O20 0.724 0.928 0.269
O21 0.555 0.777 0.231
O22 0.928 0.078 0.269
O23 0.857 0.719 0.925
O24 0.999 0.219 0.425

size of the total moment: 0.000 μB per formula unit
V: 17.81 A^3/atom
N(E_F): 0.000 states/eV/cell
E_form (uncorrected): -2.0891 eV per atom
final energy: -7.87 eV/atom